1.
The following is a DFT calculation (PBE-GGA) of a relaxed Sr2In3Rh2 crystal.

Cell lengths 11.0655, 4.3140, 8.0089 Å; angles 90.00, 114.97, 90.00 degrees
Space group C2/m (No. 12)
One atom of each set of equivalent atoms:
Sr1 0.1446 0.0000 0.2764 x4
In1 0.0000 0.5000 0.5000 x2
In2 0.1403 0.5000 0.9436 x4
Rh1 0.1277 0.0000 0.7067 x4

Results
M_tot: 0.0000 μB/atom
density of states at the Fermi level: 2.14 states/eV/f.u.
total DFT energy (no corrections): -4.25 eV/atom

---

2.
The following is a DFT calculation (PBE-GGA) of a relaxed La12Sm2Dy5 crystal.

Cell lengths 13.3233, 11.8402, 9.5785 Å; angles 90.00, 117.06, 90.00 degrees
Space group C2/m (No. 12)
One atom of each set of equivalent atoms:
La1 0.0641 0.0000 0.2755 x4
La2 0.1003 0.5000 0.4232 x4
La3 0.1043 0.2390 0.9063 x8
La4 0.2134 0.2400 0.3123 x8
Sm1 0.0000 0.2146 0.5000 x4
Dy1 0.0000 0.5000 0.0000 x2
Dy2 0.1954 0.0000 0.7316 x4
Dy3 0.2165 0.5000 0.8606 x4

Results
M_tot: 0.0000 μB/atom
density of states at the Fermi level: 29.98 states/eV/f.u.
total DFT energy (no corrections): -4.72 eV/atom

---

3.
The following is a DFT calculation (PBE-GGA) of a relaxed SrIn2Cl crystal.

Cell lengths 7.9900, 7.9900, 7.9900 Å; angles 90.00, 90.00, 90.00 degrees
Space group Fm-3m (No. 225)
One atom of each set of equivalent atoms:
Sr1 0.0000 0.0000 0.0000 x4
In1 0.2500 0.2500 0.2500 x8
Cl1 0.0000 0.0000 0.5000 x4

Results
M_tot: 0.0000 μB/atom
formation energy from raw total energies: -250 meV per atom
density of states at the Fermi level: 4.50 states/eV/f.u.
total DFT energy (no corrections): -2.50 eV/atom

---

4.
The following is a DFT calculation (PBE-GGA) of a relaxed MnCS2N crystal.

Cell lengths 4.5217, 4.5217, 3.4075 Å; angles 90.00, 90.00, 90.00 degrees
Space group P4/mmm (No. 123)
One atom of each set of equivalent atoms:
Mn1 0.0000 0.0000 0.0000 x1
C1 0.5000 0.5000 0.5000 x1
S1 0.0000 0.5000 0.0000 x2
N1 0.0000 0.0000 0.5000 x1

Results
M_tot: 0.0049 μB/atom
formation energy from raw total energies: 1574 meV per atom
density of states at the Fermi level: 4.84 states/eV/f.u.
total DFT energy (no corrections): -5.42 eV/atom

---

5.
The following is a DFT calculation (PBE-GGA) of a relaxed Pm2Si crystal.

Cell lengths 14.0361, 3.6927, 6.5709 Å; angles 90.00, 104.06, 90.00 degrees
Space group C2/m (No. 12)
One atom of each set of equivalent atoms:
Pm1 0.1190 0.0000 0.0664 x4
Pm2 0.1493 0.0000 0.5910 x4
Si1 0.0018 0.5000 0.3088 x4

Results
M_tot: 0.0000 μB/atom
formation energy from raw total energies: -330 meV per atom
density of states at the Fermi level: 2.46 states/eV/f.u.
total DFT energy (no corrections): -5.31 eV/atom

---

6.
The following is a DFT calculation (PBE-GGA) of a relaxed Tm2LuAu crystal.

Cell lengths 3.5164, 3.5164, 8.5821 Å; angles 90.00, 90.00, 90.00 degrees
Space group P4/mmm (No. 123)
One atom of each set of equivalent atoms:
Tm1 0.0000 0.0000 0.2086 x2
Lu1 0.5000 0.5000 0.5000 x1
Au1 0.5000 0.5000 0.0000 x1

Results
M_tot: 0.0000 μB/atom
density of states at the Fermi level: 5.50 states/eV/f.u.
total DFT energy (no corrections): -4.59 eV/atom

---

7.
The following is a DFT calculation (PBE-GGA) of a relaxed LaPm6Pr2Nd3 crystal.

Cell lengths 6.3823, 11.0597, 12.1831 Å; angles 90.00, 100.13, 90.00 degrees
Space group C2/m (No. 12)
One atom of each set of equivalent atoms:
La1 0.0000 0.0000 0.0000 x2
Pm1 0.2499 0.0000 0.7485 x4
Pm2 0.2504 0.1668 0.2512 x8
Pr1 0.0000 0.3335 0.0000 x4
Nd1 0.0000 0.1668 0.5000 x4
Nd2 0.0000 0.5000 0.5000 x2

Results
M_tot: 0.0000 μB/atom
density of states at the Fermi level: 19.18 states/eV/f.u.
total DFT energy (no corrections): -4.76 eV/atom

---

8.
The following is a DFT calculation (PBE-GGA) of a relaxed La5PmHo6 crystal.

Cell lengths 5.2153, 9.9672, 15.5760 Å; angles 90.00, 90.00, 90.00 degrees
Space group Immm (No. 71)
One atom of each set of equivalent atoms:
La1 0.0000 0.0000 0.0000 x2
La2 0.0000 0.0000 0.3344 x4
La3 0.0000 0.5000 0.3330 x4
Pm1 0.0000 0.5000 0.0000 x2
Ho1 0.0000 0.2493 0.5000 x4
Ho2 0.0000 0.2505 0.1661 x8

Results
M_tot: 0.0000 μB/atom
density of states at the Fermi level: 17.20 states/eV/f.u.
total DFT energy (no corrections): -4.71 eV/atom

---

9.
The following is a DFT calculation (PBE-GGA) of a relaxed MnZn2Ni6 crystal.

Cell lengths 6.9206, 6.9206, 2.5270 Å; angles 90.00, 90.00, 120.00 degrees
Space group P-62m (No. 189)
One atom of each set of equivalent atoms:
Mn1 0.0000 0.0000 0.0000 x1
Zn1 0.3333 0.6667 0.5000 x2
Ni1 0.0000 0.3544 0.0000 x3
Ni2 0.0000 0.6994 0.5000 x3

Results
M_tot: 0.4525 μB/atom
density of states at the Fermi level: 7.32 states/eV/f.u.
total DFT energy (no corrections): -5.22 eV/atom

---

10.
The following is a DFT calculation (PBE-GGA) of a relaxed Sm2DyHf crystal.

Cell lengths 3.3685, 3.3685, 36.3255 Å; angles 90.00, 90.00, 120.00 degrees
Space group R-3m (No. 166, hexagonal axes)
One atom of each set of equivalent atoms:
Sm1 0.0000 0.0000 0.0857 x6
Dy1 0.0000 0.0000 0.5000 x3
Hf1 0.0000 0.0000 0.0000 x3

Results
M_tot: 0.0000 μB/atom
density of states at the Fermi level: 5.76 states/eV/f.u.
total DFT energy (no corrections): -5.63 eV/atom

---

11.
The following is a DFT calculation (PBE-GGA) of a relaxed Y2CrP crystal.

Cell lengths 17.7005, 3.9593, 5.5426 Å; angles 90.00, 99.67, 90.00 degrees
Space group Cm (No. 8)
One atom of each set of equivalent atoms:
Y1 0.0000 0.0000 0.0000 x2
Y2 0.0882 0.5000 0.5437 x2
Y3 0.2143 0.0000 0.1110 x2
Y4 0.3483 0.0000 0.6714 x2
Cr1 0.3433 0.5000 0.1651 x2
Cr2 0.4094 0.0000 0.2265 x2
P1 0.1080 0.5000 0.0531 x2
P2 0.4621 0.5000 0.4826 x2

Results
M_tot: 0.1112 μB/atom
density of states at the Fermi level: 3.76 states/eV/f.u.
total DFT energy (no corrections): -7.50 eV/atom

---

12.
The following is a DFT calculation (PBE-GGA) of a relaxed Sr2Tl crystal.

Cell lengths 4.0675, 4.0697, 31.0914 Å; angles 90.00, 90.00, 90.00 degrees
Space group Imma (No. 74)
One atom of each set of equivalent atoms:
Sr1 0.0000 0.2500 0.0607 x4
Sr2 0.0000 0.2500 0.1890 x4
Tl1 0.0000 0.2500 0.6248 x4

Results
M_tot: 0.0000 μB/atom
density of states at the Fermi level: 2.89 states/eV/f.u.
total DFT energy (no corrections): -2.15 eV/atom

---

13.
The following is a DFT calculation (PBE-GGA) of a relaxed CuSbTe crystal.

Cell lengths 4.1632, 5.6827, 12.3428 Å; angles 90.00, 90.00, 90.00 degrees
Space group Fmm2 (No. 42)
One atom of each set of equivalent atoms:
Cu1 0.0000 0.0000 0.0000 x4
Sb1 0.0000 0.0000 0.6314 x4
Te1 0.0000 0.0000 0.3708 x4

Results
M_tot: 0.0000 μB/atom
formation energy from raw total energies: 190 meV per atom
density of states at the Fermi level: 1.18 states/eV/f.u.
total DFT energy (no corrections): -3.60 eV/atom

---

14.
The following is a DFT calculation (PBE-GGA) of a relaxed GdThFeCu crystal.

Cell lengths 6.9832, 6.9832, 6.9832 Å; angles 90.00, 90.00, 90.00 degrees
Space group F-43m (No. 216)
One atom of each set of equivalent atoms:
Gd1 0.0000 0.0000 0.0000 x4
Th1 0.0000 0.0000 0.5000 x4
Fe1 0.2500 0.2500 0.7500 x4
Cu1 0.2500 0.2500 0.2500 x4

Results
M_tot: 1.5075 μB/atom
density of states at the Fermi level: 3.76 states/eV/f.u.
total DFT energy (no corrections): -8.52 eV/atom

---

15.
The following is a DFT calculation (PBE-GGA) of a relaxed Ta4PCl crystal.

Cell lengths 7.7946, 7.7946, 7.7946 Å; angles 90.00, 90.00, 90.00 degrees
Space group F-43m (No. 216)
One atom of each set of equivalent atoms:
Ta1 0.1242 0.1242 0.1242 x16
P1 0.0000 0.0000 0.5000 x4
Cl1 0.2500 0.2500 0.7500 x4

Results
M_tot: 0.0000 μB/atom
formation energy from raw total energies: 959 meV per atom
density of states at the Fermi level: 4.80 states/eV/f.u.
total DFT energy (no corrections): -8.15 eV/atom

---

16.
The following is a DFT calculation (PBE-GGA) of a relaxed InHg3Br crystal.

Cell lengths 5.6681, 5.6681, 5.6681 Å; angles 90.00, 90.00, 90.00 degrees
Space group Pm-3m (No. 221)
One atom of each set of equivalent atoms:
In1 0.0000 0.0000 0.0000 x1
Hg1 0.0000 0.0000 0.5000 x3
Br1 0.5000 0.5000 0.5000 x1

Results
M_tot: 0.0000 μB/atom
formation energy from raw total energies: -69 meV per atom
density of states at the Fermi level: 1.58 states/eV/f.u.
total DFT energy (no corrections): -1.13 eV/atom

---

17.
The following is a DFT calculation (PBE-GGA) of a relaxed Rb2CaSb2 crystal.

Cell lengths 8.2295, 8.2295, 5.9945 Å; angles 90.00, 90.00, 90.00 degrees
Space group P4/mbm (No. 127)
One atom of each set of equivalent atoms:
Rb1 0.1626 0.3374 0.0000 x4
Ca1 0.0000 0.0000 0.5000 x2
Sb1 0.1276 0.6276 0.5000 x4

Results
M_tot: 0.0000 μB/atom
formation energy from raw total energies: -498 meV per atom
density of states at the Fermi level: 0.00 states/eV/f.u.
total DFT energy (no corrections): -2.93 eV/atom

---

18.
The following is a DFT calculation (PBE-GGA) of a relaxed K2MoS4 crystal.

Cell lengths 9.5980, 6.9500, 12.4081 Å; angles 90.00, 90.00, 90.00 degrees
Space group Pnma (No. 62)
One atom of each set of equivalent atoms:
K1 0.0454 0.2500 0.1630 x4
K2 0.1544 0.7500 0.3894 x4
Mo1 0.2457 0.7500 0.0665 x4
S1 0.0213 0.7500 0.1079 x4
S2 0.1533 0.5049 0.6358 x8
S3 0.2225 0.2500 0.3905 x4

Results
M_tot: 0.0000 μB/atom
formation energy from raw total energies: -944 meV per atom
total DFT energy (no corrections): -5.16 eV/atom

---

19.
The following is a DFT calculation (PBE-GGA) of a relaxed VSnIr3 crystal.

Cell lengths 4.5917, 4.5917, 4.5917 Å; angles 90.00, 90.00, 90.00 degrees
Space group Pm-3m (No. 221)
One atom of each set of equivalent atoms:
V1 0.0000 0.0000 0.0000 x1
Sn1 0.5000 0.5000 0.5000 x1
Ir1 0.0000 0.0000 0.5000 x3

Results
M_tot: 0.0000 μB/atom
density of states at the Fermi level: 6.37 states/eV/f.u.
total DFT energy (no corrections): -6.97 eV/atom

---

20.
The following is a DFT calculation (PBE-GGA) of a relaxed YCoPb crystal.

Cell lengths 6.8837, 6.8837, 6.8837 Å; angles 90.00, 90.00, 90.00 degrees
Space group F-43m (No. 216)
One atom of each set of equivalent atoms:
Y1 0.0000 0.0000 0.0000 x4
Co1 0.2500 0.2500 0.7500 x4
Pb1 0.2500 0.2500 0.2500 x4

Results
M_tot: 0.4847 μB/atom
density of states at the Fermi level: 3.07 states/eV/f.u.
total DFT energy (no corrections): -5.20 eV/atom

---

21.
The following is a DFT calculation (PBE-GGA) of a relaxed TbErIrAu crystal.

Cell lengths 3.5112, 3.5112, 7.0266 Å; angles 90.00, 90.00, 90.00 degrees
Space group P4mm (No. 99)
One atom of each set of equivalent atoms:
Tb1 0.0000 0.0000 0.0000 x1
Er1 0.0000 0.0000 0.5338 x1
Ir1 0.5000 0.5000 0.7629 x1
Au1 0.5000 0.5000 0.2744 x1

Results
M_tot: 0.0000 μB/atom
density of states at the Fermi level: 4.82 states/eV/f.u.
total DFT energy (no corrections): -6.18 eV/atom

---

22.
The following is a DFT calculation (PBE-GGA) of a relaxed Na2SrNbFe crystal.

Cell lengths 5.4780, 5.4780, 4.6591 Å; angles 90.00, 90.00, 90.00 degrees
Space group P4/mmm (No. 123)
One atom of each set of equivalent atoms:
Na1 0.0000 0.5000 0.0000 x2
Sr1 0.0000 0.0000 0.0000 x1
Nb1 0.5000 0.5000 0.5000 x1
Fe1 0.0000 0.0000 0.5000 x1

Results
M_tot: 0.6877 μB/atom
density of states at the Fermi level: 11.04 states/eV/f.u.
total DFT energy (no corrections): -2.60 eV/atom

---

23.
The following is a DFT calculation (PBE-GGA) of a relaxed Tl5SnTe5 crystal.

Cell lengths 14.9621, 6.2857, 9.5467 Å; angles 90.00, 110.26, 90.00 degrees
Space group C2/m (No. 12)
One atom of each set of equivalent atoms:
Tl1 0.0000 0.0000 0.0000 x2
Tl2 0.1750 0.5000 0.3480 x4
Tl3 0.1871 0.5000 0.8126 x4
Sn1 0.0000 0.0000 0.5000 x2
Te1 0.0000 0.5000 0.5000 x2
Te2 0.1552 0.0000 0.3424 x4
Te3 0.1623 0.0000 0.8227 x4

Results
M_tot: 0.0000 μB/atom
formation energy from raw total energies: -184 meV per atom
density of states at the Fermi level: 5.83 states/eV/f.u.
total DFT energy (no corrections): -3.05 eV/atom

---

24.
The following is a DFT calculation (PBE-GGA) of a relaxed Ba2Sn15Hg2 crystal.

Cell lengths 11.1183, 11.1183, 16.2278 Å; angles 90.00, 90.00, 120.00 degrees
Space group R-3m (No. 166, hexagonal axes)
One atom of each set of equivalent atoms:
Ba1 0.0000 0.0000 0.1724 x6
Sn1 0.0000 0.2962 0.5000 x18
Sn2 0.0000 0.5000 0.0000 x9
Sn3 0.0091 0.5046 0.6465 x18
Hg1 0.0000 0.0000 0.3988 x6

Results
M_tot: 0.0000 μB/atom
density of states at the Fermi level: 10.51 states/eV/f.u.
total DFT energy (no corrections): -3.50 eV/atom